CaAcH4 | PBE-GGA | relaxed

```
CaAcH4
1.0
3.9594 0.0000 0.0000
0.0000 3.9594 0.0000
0.0000 0.0000 5.7740
Ca Ac H
1 1 4
Direct
0.0000 0.0000 0.0000
0.5000 0.5000 0.5000
0.0000 0.5000 0.2314
0.0000 0.5000 0.7686
0.5000 0.0000 0.2314
0.5000 0.0000 0.7686
```

Calculated values
E above lowest polymorph (eV per atom): 0.000
SG: P4/mmm, No. 123



Ca2AcH | PBE-GGA | relaxed

```
Ca2AcH
1.0
1.9012 1.0977 9.6503
-1.9012 1.0977 9.6503
0.0000 -2.1954 9.6503
Ca Ac H
2 1 1
Direct
0.2185 0.2185 0.2185
0.7815 0.7815 0.7815
0.0000 0.0000 0.0000
0.5000 0.5000 0.5000
```

Calculated values
E above lowest polymorph (eV per atom): 0.000
SG: R-3m, No. 166



CaAc2H8 | PBE-GGA | relaxed

```
CaAc2H8
1.0
-2.0780 2.7248 6.1450
2.0780 -2.7248 6.1450
2.0780 2.7248 -6.1450
Ca Ac H
1 2 8
Direct
0.0000 0.0000 0.0000
0.3249 0.3249 0.0000
0.6751 0.6751 0.0000
0.1118 0.8543 0.2574
0.1933 0.6933 0.5000
0.2570 0.5000 0.7570
0.4031 0.1457 0.2574
0.5969 0.8543 0.7426
0.7430 0.5000 0.2430
0.8067 0.3067 0.5000
0.8882 0.1457 0.7426
```

Calculated values
Final energy (eV per atom): -3.94
SG: Immm, No. 71



Ca2AcH | PBE-GGA | relaxed

```
Ca2AcH
1.0
3.5925 0.0000 0.0000
0.0000 3.5925 0.0000
0.0000 0.0000 9.6020
Ca Ac H
2 1 1
Direct
0.0000 0.0000 0.1853
0.0000 0.0000 0.8147
0.5000 0.5000 0.5000
0.5000 0.5000 0.0000
```

Calculated values
E above lowest polymorph (eV per atom): 0.253
SG: P4/mmm, No. 123



CaAc2H | PBE-GGA | relaxed

```
CaAc2H
1.0
3.7085 0.0000 0.0000
0.0000 3.7085 0.0000
0.0000 0.0000 9.5265
Ca Ac H
1 2 1
Direct
0.0000 0.0000 0.0000
0.5000 0.5000 0.3164
0.5000 0.5000 0.6836
0.0000 0.0000 0.5000
```

Calculated values
E above lowest polymorph (eV per atom): 0.295
SG: P4/mmm, No. 123



Ca3Ac5H12 | PBE-GGA | relaxed

```
Ca3Ac5H12
1.0
-7.3340 7.3340 7.3340
7.3340 -7.3340 7.3340
7.3340 7.3340 -7.3340
Ca Ac H
12 20 48
Direct
0.1250 0.2500 0.3750
0.1250 0.3750 0.7500
0.2500 0.3750 0.1250
0.2500 0.8750 0.6250
0.3750 0.1250 0.2500
0.3750 0.7500 0.1250
0.6250 0.2500 0.8750
0.6250 0.8750 0.7500
0.7500 0.1250 0.3750
0.7500 0.6250 0.8750
0.8750 0.6250 0.2500
0.8750 0.7500 0.6250
0.0000 0.0000 0.0000
0.0000 0.0000 0.5000
0.0000 0.5000 0.0000
0.0000 0.5000 0.5000
0.1250 0.7500 0.8750
0.1250 0.8750 0.2500
0.2500 0.1250 0.8750
0.2500 0.6250 0.3750
0.3750 0.2500 0.6250
0.3750 0.6250 0.7500
0.5000 0.0000 0.0000
0.5000 0.0000 0.5000
0.5000 0.5000 0.0000
0.5000 0.5000 0.5000
0.6250 0.3750 0.2500
0.6250 0.7500 0.3750
0.7500 0.3750 0.6250
0.7500 0.8750 0.1250
0.8750 0.1250 0.7500
0.8750 0.2500 0.1250
0.0393 0.7108 0.6551
0.0393 0.8285 0.3842
0.0557 0.2108 0.1715
0.0557 0.3449 0.8842
0.1158 0.6715 0.4607
0.1158 0.9443 0.6551
0.1551 0.2108 0.5393
0.1551 0.4443 0.6158
0.1715 0.0557 0.2108
0.1715 0.6158 0.9607
0.2108 0.1715 0.0557
0.2108 0.5393 0.1551
0.2892 0.3449 0.9607
0.2892 0.4443 0.3285
0.3285 0.2892 0.4443
0.3285 0.5393 0.8842
0.3449 0.8842 0.0557
0.3449 0.9607 0.2892
0.3842 0.0393 0.8285
0.3842 0.8449 0.5557
0.4443 0.3285 0.2892
0.4443 0.6158 0.1551
0.4607 0.1158 0.6715
0.4607 0.8449 0.7892
0.5393 0.1551 0.2108
0.5393 0.8842 0.3285
0.5557 0.3842 0.8449
0.5557 0.6715 0.7108
0.6158 0.1551 0.4443
0.6158 0.9607 0.1715
0.6551 0.0393 0.7108
0.6551 0.1158 0.9443
0.6715 0.4607 0.1158
0.6715 0.7108 0.5557
0.7108 0.5557 0.6715
0.7108 0.6551 0.0393
0.7892 0.4607 0.8449
0.7892 0.8285 0.9443
0.8285 0.3842 0.0393
0.8285 0.9443 0.7892
0.8449 0.5557 0.3842
0.8449 0.7892 0.4607
0.8842 0.0557 0.3449
0.8842 0.3285 0.5393
0.9443 0.6551 0.1158
0.9443 0.7892 0.8285
0.9607 0.1715 0.6158
0.9607 0.2892 0.3449
```

Calculated values
Final energy (eV per atom): -3.68
SG: Ia-3d, No. 230



CaAc2H | PBE-GGA | relaxed

```
CaAc2H
1.0
1.9836 1.1453 9.7463
-1.9836 1.1453 9.7463
0.0000 -2.2905 9.7463
Ca Ac H
1 2 1
Direct
0.0000 0.0000 0.0000
0.5524 0.5524 0.5524
0.7800 0.7800 0.7800
0.1684 0.1684 0.1684
```

Calculated values
E above lowest polymorph (eV per atom): 0.000
SG: R3m, No. 160



CaAcH4 | PBE-GGA | relaxed

```
CaAcH4
1.0
-2.8313 2.8313 5.6827
2.8313 -2.8313 5.6827
2.8313 2.8313 -5.6827
Ca Ac H
2 2 8
Direct
0.3750 0.6250 0.7500
0.6250 0.3750 0.2500
0.1250 0.8750 0.2500
0.8750 0.1250 0.7500
0.0000 0.2645 0.2645
0.0000 0.7355 0.7355
0.2645 0.0000 0.7645
0.2645 0.5000 0.2645
0.5000 0.2645 0.7645
0.5000 0.7355 0.2355
0.7355 0.0000 0.2355
0.7355 0.5000 0.7355
```

Calculated values
E above lowest polymorph (eV per atom): 0.007
SG: I4_1/amd, No. 141



Magnetic moment, record by record: 0.0, 0.0, 0.0, 0.0, 0.0, 1.3, 0.0, 0.0 μB per formula unit
Theoretical density, record by record: 5.0, 4.2, 6.0, 4.1, 6.3, 5.3, 6.2, 4.9 g/cm³